Record 1
# ZnRe2W GGA-PBEsol optimized geometry
# Energy relative to the elements ... 264.7 meV/atom
data_ZnRe2W
_cell_length_a 2.7943
_cell_length_b 3.8345
_cell_length_c 5.4469
_cell_angle_alpha 90.00
_cell_angle_beta 90.00
_cell_angle_gamma 90.00
_space_group_name_H-M_alt 'P m m m'
_space_group_IT_number 47
loop_
_space_group_symop_operation_xyz
'x,y,z'
'-x,-y,-z'
'-x,-y,z'
'x,y,-z'
'x,-y,-z'
'-x,y,z'
'-x,y,-z'
'x,-y,z'
loop_
_atom_site_label
_atom_site_fract_x
_atom_site_fract_y
_atom_site_fract_z
Zn1 0.0000 0.0000 0.0000
Re1 0.5000 0.5000 0.2396
W1 0.0000 0.0000 0.5000

Record 2
# BaNb2Ru GGA-PBEsol optimized geometry
# Energy relative to the elements ... 850.4 meV/atom
data_BaNb2Ru
_cell_length_a 6.7140
_cell_length_b 6.7140
_cell_length_c 6.7140
_cell_angle_alpha 90.00
_cell_angle_beta 90.00
_cell_angle_gamma 90.00
_space_group_name_H-M_alt 'F m -3 m'
_space_group_IT_number 225
_space_group_name_Hall '-F 4 2 3'
loop_
_atom_site_label
_atom_site_fract_x
_atom_site_fract_y
_atom_site_fract_z
Ba1 0.0000 0.0000 0.0000
Nb1 0.2500 0.2500 0.2500
Ru1 0.0000 0.0000 0.5000

Record 3
# BeRe2Au GGA-PBEsol optimized geometry
# Energy relative to the elements ... 463.7 meV/atom
data_BeRe2Au
_cell_length_a 3.6753
_cell_length_b 3.6753
_cell_length_c 8.2786
_cell_angle_alpha 90.00
_cell_angle_beta 90.00
_cell_angle_gamma 90.00
_space_group_name_H-M_alt 'I 4/m m m'
_space_group_IT_number 139
_space_group_name_Hall '-I 4 2'
loop_
_atom_site_label
_atom_site_fract_x
_atom_site_fract_y
_atom_site_fract_z
Be1 0.0000 0.0000 0.0000
Re1 0.0000 0.5000 0.2500
Au1 0.0000 0.0000 0.5000

Record 4
# ReAgPdN2 GGA-PBEsol optimized geometry
# Uncorrected formation energy ... 804 meV per atom
data_ReAgPdN2
_cell_length_a 3.7983
_cell_length_b 3.7983
_cell_length_c 5.2800
_cell_angle_alpha 90.00
_cell_angle_beta 90.00
_cell_angle_gamma 90.00
_space_group_name_H-M_alt 'P 4/m m m'
_space_group_IT_number 123
_space_group_name_Hall '-P 4 2'
loop_
_atom_site_label
_atom_site_fract_x
_atom_site_fract_y
_atom_site_fract_z
Re1 0.0000 0.0000 0.0000
Ag1 0.0000 0.0000 0.5000
Pd1 0.5000 0.5000 0.5000
N1 0.0000 0.5000 0.0000

Record 5
# Ba5Ga5Pb GGA-PBEsol optimized geometry
# Energy relative to the elements ... -508.2 meV/atom
data_Ba5Ga5Pb
_cell_length_a 6.0056
_cell_length_b 6.0056
_cell_length_c 10.6888
_cell_angle_alpha 90.00
_cell_angle_beta 90.00
_cell_angle_gamma 120.00
_space_group_name_H-M_alt 'P -6 m 2'
_space_group_IT_number 187
_space_group_name_Hall 'P -6 2'
loop_
_atom_site_label
_atom_site_fract_x
_atom_site_fract_y
_atom_site_fract_z
Ba1 0.0000 0.0000 0.0000
Ba2 0.3333 0.6667 0.3323
Ba3 0.6667 0.3333 0.2048
Ga1 0.0000 0.0000 0.3299
Ga2 0.3699 0.1849 0.5000
Pb1 0.3333 0.6667 0.0000

Record 6
# Li3Sc2P3O12 GGA-PBEsol optimized geometry
# Uncorrected formation energy ... -2726 meV per atom
data_Li3Sc2P3O12
_cell_length_a 8.8079
_cell_length_b 8.8300
_cell_length_c 15.1504
_cell_angle_alpha 90.00
_cell_angle_beta 125.31
_cell_angle_gamma 90.00
_space_group_name_H-M_alt 'P 1 21/c 1'
_space_group_IT_number 14
loop_
_space_group_symop_operation_xyz
'x,y,z'
'-x,-y,-z'
'-x,y+1/2,-z+1/2'
'x,-y+1/2,z+1/2'
loop_
_atom_site_label
_atom_site_fract_x
_atom_site_fract_y
_atom_site_fract_z
Li1 0.0105 0.2322 0.3166
Li2 0.2317 0.0725 0.2866
Li3 0.4028 0.2316 0.1810
Sc1 0.1550 0.5432 0.3940
Sc2 0.3539 0.5478 0.1101
P1 0.0473 0.1099 0.6515
P2 0.2550 0.5947 0.6497
P3 0.4436 0.2420 0.4948
O1 0.0342 0.2307 0.1916
O2 0.0382 0.5160 0.2202
O3 0.0972 0.5919 0.6669
O4 0.1199 0.5896 0.9664
O5 0.1843 0.5555 0.5342
O6 0.2321 0.1006 0.6624
O7 0.2605 0.1697 0.9168
O8 0.3495 0.7487 0.1824
O9 0.3873 0.6535 0.4425
O10 0.3922 0.0302 0.2281
O11 0.4219 0.1597 0.5767
O12 0.4603 0.1299 0.4227

Record 7
# KNa2In2 GGA-PBEsol optimized geometry
# Energy relative to the elements ... -55.0 meV/atom
data_KNa2In2
_cell_length_a 9.4325
_cell_length_b 9.4325
_cell_length_c 3.4226
_cell_angle_alpha 90.00
_cell_angle_beta 90.00
_cell_angle_gamma 90.00
_space_group_name_H-M_alt 'P 4/m b m'
_space_group_IT_number 127
_space_group_name_Hall '-P 4 2ab'
loop_
_atom_site_label
_atom_site_fract_x
_atom_site_fract_y
_atom_site_fract_z
K1 0.0000 0.0000 0.0000
Na1 0.1806 0.3194 0.5000
In1 0.1112 0.6112 0.0000

Record 8
# GeBiIN2 GGA-PBEsol optimized geometry
# Uncorrected formation energy ... 1340 meV per atom
data_GeBiIN2
_cell_length_a 4.1614
_cell_length_b 4.1614
_cell_length_c 5.3544
_cell_angle_alpha 90.00
_cell_angle_beta 90.00
_cell_angle_gamma 90.00
_space_group_name_H-M_alt 'P 4/m m m'
_space_group_IT_number 123
_space_group_name_Hall '-P 4 2'
loop_
_atom_site_label
_atom_site_fract_x
_atom_site_fract_y
_atom_site_fract_z
Ge1 0.0000 0.0000 0.0000
Bi1 0.5000 0.5000 0.5000
I1 0.0000 0.0000 0.5000
N1 0.0000 0.5000 0.0000

Record 9
# TlIr2C GGA-PBEsol optimized geometry
# Energy relative to the elements ... 488.9 meV/atom
data_TlIr2C
_cell_length_a 6.4890
_cell_length_b 6.4890
_cell_length_c 5.7698
_cell_angle_alpha 90.00
_cell_angle_beta 90.00
_cell_angle_gamma 90.00
_space_group_name_H-M_alt 'I -4 2 d'
_space_group_IT_number 122
_space_group_name_Hall 'I -4 2bw'
loop_
_atom_site_label
_atom_site_fract_x
_atom_site_fract_y
_atom_site_fract_z
Tl1 0.0000 0.0000 0.0000
Ir1 0.1310 0.2500 0.6250
C1 0.0000 0.0000 0.5000

Record 10
# RbZnAs2Br GGA-PBEsol optimized geometry
# Uncorrected formation energy ... -54 meV per atom
data_RbZnAs2Br
_cell_length_a 4.7396
_cell_length_b 4.7396
_cell_length_c 6.3325
_cell_angle_alpha 90.00
_cell_angle_beta 90.00
_cell_angle_gamma 90.00
_space_group_name_H-M_alt 'P 4/m m m'
_space_group_IT_number 123
_space_group_name_Hall '-P 4 2'
loop_
_atom_site_label
_atom_site_fract_x
_atom_site_fract_y
_atom_site_fract_z
Rb1 0.0000 0.0000 0.0000
Zn1 0.5000 0.5000 0.5000
As1 0.0000 0.5000 0.5000
Br1 0.5000 0.5000 0.0000

Record 11
# CrHg2 GGA-PBEsol optimized geometry
# Energy relative to the elements ... 356.8 meV/atom
data_CrHg2
_cell_length_a 10.5103
_cell_length_b 3.0166
_cell_length_c 7.4305
_cell_angle_alpha 90.00
_cell_angle_beta 102.50
_cell_angle_gamma 90.00
_space_group_name_H-M_alt 'C 1 m 1'
_space_group_IT_number 8
loop_
_space_group_symop_operation_xyz
'x,y,z'
'x,-y,z'
'x+1/2,y+1/2,z'
'x+1/2,-y+1/2,z'
loop_
_atom_site_label
_atom_site_fract_x
_atom_site_fract_y
_atom_site_fract_z
Cr1 0.0000 0.0000 0.0000
Cr2 0.1236 0.5000 0.2062
Hg1 0.0951 0.0000 0.5073
Hg2 0.2024 0.5000 0.8736
Hg3 0.3562 0.0000 0.2344
Hg4 0.3860 0.0000 0.6655

Record 12
# Fe3Co5 GGA-PBEsol optimized geometry
# Energy relative to the elements ... 45.5 meV/atom
data_Fe3Co5
_cell_length_a 3.9161
_cell_length_b 3.9161
_cell_length_c 11.2453
_cell_angle_alpha 90.00
_cell_angle_beta 90.00
_cell_angle_gamma 90.00
_space_group_name_H-M_alt 'I 4 m m'
_space_group_IT_number 107
_space_group_name_Hall 'I 4 -2'
loop_
_atom_site_label
_atom_site_fract_x
_atom_site_fract_y
_atom_site_fract_z
Fe1 0.0000 0.0000 0.0000
Fe2 0.0000 0.5000 0.1287
Co1 0.0000 0.0000 0.2511
Co2 0.0000 0.0000 0.5050
Co3 0.0000 0.0000 0.7501
Co4 0.0000 0.5000 0.3789

Record 13
# Al4SbAs GGA-PBEsol optimized geometry
# Uncorrected formation energy ... 238 meV per atom
data_Al4SbAs
_cell_length_a 7.6637
_cell_length_b 7.6637
_cell_length_c 7.6637
_cell_angle_alpha 90.00
_cell_angle_beta 90.00
_cell_angle_gamma 90.00
_space_group_name_H-M_alt 'F -4 3 m'
_space_group_IT_number 216
_space_group_name_Hall 'F -4 2 3'
loop_
_atom_site_label
_atom_site_fract_x
_atom_site_fract_y
_atom_site_fract_z
Al1 0.1254 0.1254 0.1254
Sb1 0.2500 0.2500 0.7500
As1 0.0000 0.0000 0.5000

Record 14
# YBe2Co GGA-PBEsol optimized geometry
# Energy relative to the elements ... -164.9 meV/atom
data_YBe2Co
_cell_length_a 3.7274
_cell_length_b 3.7274
_cell_length_c 14.0844
_cell_angle_alpha 90.00
_cell_angle_beta 90.00
_cell_angle_gamma 120.00
_space_group_name_H-M_alt 'R 3 m'
_space_group_IT_number 160
_space_group_name_Hall 'R 3 -2"'
loop_
_atom_site_label
_atom_site_fract_x
_atom_site_fract_y
_atom_site_fract_z
Y1 0.0000 0.0000 0.0000
Be1 0.0000 0.0000 0.5051
Be2 0.0000 0.0000 0.8119
Co1 0.0000 0.0000 0.1939

Record 15
# RbTaAgBr2 GGA-PBEsol optimized geometry
# Uncorrected formation energy ... -85 meV per atom
data_RbTaAgBr2
_cell_length_a 5.0700
_cell_length_b 5.0700
_cell_length_c 5.4339
_cell_angle_alpha 90.00
_cell_angle_beta 90.00
_cell_angle_gamma 90.00
_space_group_name_H-M_alt 'P 4/m m m'
_space_group_IT_number 123
_space_group_name_Hall '-P 4 2'
loop_
_atom_site_label
_atom_site_fract_x
_atom_site_fract_y
_atom_site_fract_z
Rb1 0.0000 0.0000 0.0000
Ta1 0.5000 0.5000 0.5000
Ag1 0.5000 0.5000 0.0000
Br1 0.0000 0.5000 0.5000

Record 16
# MnAgRh GGA-PBEsol optimized geometry
# Energy relative to the elements ... 195.2 meV/atom
data_MnAgRh
_cell_length_a 2.9832
_cell_length_b 2.9832
_cell_length_c 9.8200
_cell_angle_alpha 90.00
_cell_angle_beta 90.00
_cell_angle_gamma 90.00
_space_group_name_H-M_alt 'I 4 m m'
_space_group_IT_number 107
_space_group_name_Hall 'I 4 -2'
loop_
_atom_site_label
_atom_site_fract_x
_atom_site_fract_y
_atom_site_fract_z
Mn1 0.0000 0.0000 0.0000
Ag1 0.0000 0.0000 0.6763
Rh1 0.0000 0.0000 0.3659

Record 17
# MgScIn2 GGA-PBEsol optimized geometry
# Energy relative to the elements ... -315.0 meV/atom
data_MgScIn2
_cell_length_a 4.4397
_cell_length_b 4.4397
_cell_length_c 8.7731
_cell_angle_alpha 90.00
_cell_angle_beta 90.00
_cell_angle_gamma 90.00
_space_group_name_H-M_alt 'I 4/m m m'
_space_group_IT_number 139
_space_group_name_Hall '-I 4 2'
loop_
_atom_site_label
_atom_site_fract_x
_atom_site_fract_y
_atom_site_fract_z
Mg1 0.0000 0.0000 0.0000
Sc1 0.0000 0.0000 0.5000
In1 0.0000 0.5000 0.2500

Record 18
# Pm2CdSn GGA-PBEsol optimized geometry
# Energy relative to the elements ... -569.9 meV/atom
data_Pm2CdSn
_cell_length_a 7.5204
_cell_length_b 7.5204
_cell_length_c 7.5204
_cell_angle_alpha 90.00
_cell_angle_beta 90.00
_cell_angle_gamma 90.00
_space_group_name_H-M_alt 'F m -3 m'
_space_group_IT_number 225
_space_group_name_Hall '-F 4 2 3'
loop_
_atom_site_label
_atom_site_fract_x
_atom_site_fract_y
_atom_site_fract_z
Pm1 0.2500 0.2500 0.2500
Cd1 0.0000 0.0000 0.0000
Sn1 0.0000 0.0000 0.5000

Record 19
# Cd2MoW GGA-PBEsol optimized geometry
# Energy relative to the elements ... 551.1 meV/atom
data_Cd2MoW
_cell_length_a 2.7319
_cell_length_b 4.7097
_cell_length_c 5.4641
_cell_angle_alpha 90.00
_cell_angle_beta 103.78
_cell_angle_gamma 90.00
_space_group_name_H-M_alt 'P 1 2/m 1'
_space_group_IT_number 10
loop_
_space_group_symop_operation_xyz
'x,y,z'
'-x,-y,-z'
'-x,y,-z'
'x,-y,z'
loop_
_atom_site_label
_atom_site_fract_x
_atom_site_fract_y
_atom_site_fract_z
Cd1 0.9998 0.0000 0.2496
Mo1 0.5000 0.5000 0.0000
W1 0.5000 0.5000 0.5000

Record 20
# KLi3P GGA-PBEsol optimized geometry
# Energy relative to the elements ... -335.3 meV/atom
data_KLi3P
_cell_length_a 4.8532
_cell_length_b 4.8532
_cell_length_c 4.8532
_cell_angle_alpha 90.00
_cell_angle_beta 90.00
_cell_angle_gamma 90.00
_space_group_name_H-M_alt 'P m -3 m'
_space_group_IT_number 221
_space_group_name_Hall '-P 4 2 3'
loop_
_atom_site_label
_atom_site_fract_x
_atom_site_fract_y
_atom_site_fract_z
K1 0.0000 0.0000 0.0000
Li1 0.0000 0.5000 0.5000
P1 0.5000 0.5000 0.5000

Number 1: volume 14.591 Å³ per atom. Number 2: volume 18.915 Å³ per atom. Number 3: volume 13.978 Å³ per atom. Number 4: volume 15.235 Å³ per atom. Number 5: volume 30.352 Å³ per atom. Number 6: volume 12.019 Å³ per atom. Number 7: volume 30.452 Å³ per atom. Number 8: volume 18.545 Å³ per atom. Number 9: volume 15.185 Å³ per atom. Number 10: volume 28.450 Å³ per atom. Number 11: volume 19.167 Å³ per atom. Number 12: volume 10.779 Å³ per atom. Number 13: volume 18.754 Å³ per atom. Number 14: volume 14.122 Å³ per atom. Number 15: volume 27.936 Å³ per atom. Number 16: volume 14.565 Å³ per atom. Number 17: volume 21.615 Å³ per atom. Number 18: volume 26.583 Å³ per atom. Number 19: volume 17.070 Å³ per atom. Number 20: volume 22.862 Å³ per atom.